Below is Cs4SmTh3Se8 after structural relaxation, with properties calculated at the GGA-PBE level.

Lattice parameters (Å, degrees): 8.619 9.854 8.619 115.95 120.00 90.00
Element x y z (fractional)
Se1 0.768 0.306 0.038
Se2 0.232 0.694 0.962
Se3 0.270 0.306 0.038
Se4 0.232 0.694 0.464
Se5 0.730 0.694 0.962
Se6 0.732 0.696 0.464
Se7 0.768 0.306 0.536
Se8 0.268 0.304 0.536
Th1 0.500 0.500 0.500
Th2 0.000 0.500 0.500
Th3 0.500 0.500 0.000
Cs1 0.000 0.000 0.500
Cs2 0.500 0.000 0.500
Cs3 0.500 0.000 0.000
Cs4 0.000 0.000 0.000
Sm1 0.000 0.500 0.000

Energy relative to the elements, uncorrected in eV per formula unit: -25.15
Final energy in eV/atom: -5.21
Space group: R-3m, No. 166